Entry 1:
Computed, not measured: a geometry-optimized PuTlCu2F8 structure at the GGA-PBE level of DFT.

Structure (CIF):
```
data_PuTlCu2F8
_chemical_formula_sum 'Pu3 Tl3 Cu6 F24'
_cell_length_a 5.2292
_cell_length_b 5.2292
_cell_length_c 24.7481
_cell_angle_alpha 90.00
_cell_angle_beta 90.00
_cell_angle_gamma 120.00
_space_group_name_H-M_alt 'R -3'
_space_group_IT_number 148
_space_group_name_Hall '-R 3'
loop_
_atom_site_label
_atom_site_type_symbol
_atom_site_fract_x
_atom_site_fract_y
_atom_site_fract_z
Pu1 Pu 0.0000 0.0000 0.0000
Tl1 Tl 0.0000 0.0000 0.5000
Cu1 Cu 0.0000 0.0000 0.2329
F1 F 0.0000 0.0000 0.1578
F2 F 0.0098 0.3558 0.3852
```

Output
crystal system = trigonal
DOS(E_F) = 48.7 states/eV/cell
total DFT energy (no corrections) = -5.565 eV per atom
formation energy without anion corrections = -26.916 eV per formula unit

=====

Entry 2:
Computed, not measured: a geometry-optimized Li2MgSi2Pt2 structure at the GGA-PBE level of DFT.

Structure (CIF):
```
data_Li2MgSi2Pt2
_chemical_formula_sum 'Li4 Mg2 Si4 Pt4'
_cell_length_a 7.2916
_cell_length_b 4.2244
_cell_length_c 7.3622
_cell_angle_alpha 90.00
_cell_angle_beta 109.24
_cell_angle_gamma 90.00
_space_group_name_H-M_alt 'C 1 2/m 1'
_space_group_IT_number 12
loop_
_space_group_symop_operation_xyz
'x,y,z'
'-x,-y,-z'
'-x,y,-z'
'x,-y,z'
'x+1/2,y+1/2,z'
'-x+1/2,-y+1/2,-z'
'-x+1/2,y+1/2,-z'
'x+1/2,-y+1/2,z'
loop_
_atom_site_label
_atom_site_type_symbol
_atom_site_fract_x
_atom_site_fract_y
_atom_site_fract_z
Li1 Li 0.1376 0.0000 0.4126
Mg1 Mg 0.0000 0.0000 0.0000
Si1 Si 0.0930 0.5000 0.7792
Pt1 Pt 0.2340 0.5000 0.1997
```

Output
crystal system = monoclinic
DOS(E_F) = 4.7 states/eV/cell
total DFT energy (no corrections) = -4.758 eV per atom
formation energy without anion corrections = -4.953 eV per formula unit

=====

Entry 3:
Computed, not measured: a geometry-optimized HfGa3Ge structure at the GGA-PBE level of DFT.

Structure (CIF):
```
data_HfGa3Ge
_chemical_formula_sum 'Hf1 Ga3 Ge1'
_cell_length_a 4.8286
_cell_length_b 4.8286
_cell_length_c 4.8286
_cell_angle_alpha 90.00
_cell_angle_beta 90.00
_cell_angle_gamma 90.00
_space_group_name_H-M_alt 'P m -3 m'
_space_group_IT_number 221
_space_group_name_Hall '-P 4 2 3'
loop_
_atom_site_label
_atom_site_type_symbol
_atom_site_fract_x
_atom_site_fract_y
_atom_site_fract_z
Hf1 Hf 0.0000 0.0000 0.0000
Ga1 Ga 0.0000 0.5000 0.5000
Ge1 Ge 0.5000 0.5000 0.5000
```

Output
crystal system = cubic
excess energy over the best structure of this formula in the dataset = 0 meV per atom
DOS(E_F) = 5.1 states/eV/cell
total DFT energy (no corrections) = -4.060 eV per atom
ΔH_f (0 K) = 670 meV/atom

=====

Entry 4:
Computed, not measured: a geometry-optimized LaTb2Mg structure at the GGA-PBE level of DFT.

Structure (CIF):
```
data_LaTb2Mg
_chemical_formula_sum 'La3 Tb6 Mg3'
_cell_length_a 3.5805
_cell_length_b 3.5805
_cell_length_c 34.2116
_cell_angle_alpha 90.00
_cell_angle_beta 90.00
_cell_angle_gamma 120.00
_space_group_name_H-M_alt 'R 3 m'
_space_group_IT_number 160
_space_group_name_Hall 'R 3 -2"'
loop_
_atom_site_label
_atom_site_type_symbol
_atom_site_fract_x
_atom_site_fract_y
_atom_site_fract_z
La1 La 0.0000 0.0000 0.0000
Tb1 Tb 0.0000 0.0000 0.2439
Tb2 Tb 0.0000 0.0000 0.4228
Mg1 Mg 0.0000 0.0000 0.8335
```

Output
crystal system = trigonal
excess energy over the best structure of this formula in the dataset = 76 meV per atom
DOS(E_F) = 15.6 states/eV/cell
total DFT energy (no corrections) = -3.896 eV per atom
ΔH_f (0 K) = 49 meV/atom

=====

- The highest DOS(E_F) belongs to which entry?
  PuTlCu2F8